## AlFeNF2 (PBE with a Hubbard U)

Data for AlFeNF2 after structural relaxation.

Computed properties:
- energy (eV/atom) = -5.701
- space-group type = P4/mmm, No. 123
- Fermi-level density of states (states/eV per cell) = 0.25

abc: 3.654 3.654 3.981
angles: 90.00 90.00 90.00
Last column: magnetic moment on the atom in μB.
Element x y z (fractional)
N: 0.000 0.000 0.500  0.01
F: 0.000 0.500 0.000  0.02
F: 0.500 0.000 0.000  0.02
Fe: 0.500 0.500 0.500  3.80
Al: 0.000 0.000 0.000  0.00